Record 1
# Ga8H | Alexandria via LeMat-Bulk | PBE-GGA | relaxed
# E_tot	-26.5	eV per cell
data_Ga8H
_symmetry_space_group_name_H-M 'P 1'
_symmetry_Int_Tables_number 1
_symmetry_space_group_name_Hall 'P 1'
_cell_length_a 6.348
_cell_length_b 6.348
_cell_length_c 4.485
_cell_angle_alpha 90.00
_cell_angle_beta 90.00
_cell_angle_gamma 120.00
loop_
_atom_site_label
_atom_site_type_symbol
_atom_site_fract_x
_atom_site_fract_y
_atom_site_fract_z
_atom_site_occupancy
Ga1 Ga 0.170 0.340 0.237 1
Ga2 Ga 0.170 0.830 0.237 1
Ga3 Ga 0.333 0.667 0.717 1
Ga4 Ga 0.340 0.170 0.763 1
Ga5 Ga 0.660 0.830 0.237 1
Ga6 Ga 0.667 0.333 0.283 1
Ga7 Ga 0.830 0.170 0.763 1
Ga8 Ga 0.830 0.660 0.763 1
H1 H 0.000 0.000 0.500 1


Record 2
# Ga4H | Alexandria via LeMat-Bulk | PBE-GGA | relaxed
# E_tot	-14.4	eV per cell
data_Ga4H
_symmetry_space_group_name_H-M 'P 1'
_symmetry_Int_Tables_number 1
_symmetry_space_group_name_Hall 'P 1'
_cell_length_a 4.289
_cell_length_b 4.289
_cell_length_c 4.289
_cell_angle_alpha 90.00
_cell_angle_beta 90.00
_cell_angle_gamma 90.00
loop_
_atom_site_label
_atom_site_type_symbol
_atom_site_fract_x
_atom_site_fract_y
_atom_site_fract_z
_atom_site_occupancy
Ga1 Ga 0.000 0.000 0.000 1
Ga2 Ga 0.000 0.500 0.500 1
Ga3 Ga 0.500 0.000 0.500 1
Ga4 Ga 0.500 0.500 0.000 1
H1 H 0.500 0.500 0.500 1


Record 3
# GaH | Alexandria via LeMat-Bulk | PBE-GGA | relaxed
# energy above the most stable polymorph in this dataset	0.261	eV per atom
# E_tot	-22.8	eV per cell
data_GaH
_symmetry_space_group_name_H-M 'P 1'
_symmetry_Int_Tables_number 1
_symmetry_space_group_name_Hall 'P 1'
_cell_length_a 5.744
_cell_length_b 5.355
_cell_length_c 4.717
_cell_angle_alpha 69.22
_cell_angle_beta 60.64
_cell_angle_gamma 50.15
loop_
_atom_site_label
_atom_site_type_symbol
_atom_site_fract_x
_atom_site_fract_y
_atom_site_fract_z
_atom_site_occupancy
Ga1 Ga 0.103 0.647 0.647 1
Ga2 Ga 0.353 0.897 0.897 1
Ga3 Ga 0.647 0.103 0.103 1
Ga4 Ga 0.897 0.353 0.353 1
H1 H 0.242 0.242 0.508 1
H2 H 0.492 0.492 0.758 1
H3 H 0.508 0.508 0.242 1
H4 H 0.758 0.758 0.492 1


Record 4
# GaH | Alexandria via LeMat-Bulk | PBE-GGA | relaxed
# energy above the most stable polymorph in this dataset	0.173	eV per atom
# E_tot	-47.0	eV per cell
data_GaH
_symmetry_space_group_name_H-M 'P 1'
_symmetry_Int_Tables_number 1
_symmetry_space_group_name_Hall 'P 1'
_cell_length_a 8.845
_cell_length_b 8.845
_cell_length_c 2.752
_cell_angle_alpha 90.00
_cell_angle_beta 90.00
_cell_angle_gamma 90.00
loop_
_atom_site_label
_atom_site_type_symbol
_atom_site_fract_x
_atom_site_fract_y
_atom_site_fract_z
_atom_site_occupancy
Ga1 Ga 0.035 0.216 0.000 1
Ga2 Ga 0.216 0.965 0.000 1
Ga3 Ga 0.271 0.344 0.500 1
Ga4 Ga 0.344 0.729 0.500 1
Ga5 Ga 0.656 0.271 0.500 1
Ga6 Ga 0.729 0.656 0.500 1
Ga7 Ga 0.784 0.035 0.000 1
Ga8 Ga 0.965 0.784 0.000 1
H1 H 0.064 0.632 0.000 1
H2 H 0.293 0.542 0.500 1
H3 H 0.368 0.064 0.000 1
H4 H 0.458 0.293 0.500 1
H5 H 0.542 0.707 0.500 1
H6 H 0.632 0.936 0.000 1
H7 H 0.707 0.458 0.500 1
H8 H 0.936 0.368 0.000 1


Record 5
# GaH | Alexandria via LeMat-Bulk | PBE-GGA | relaxed
# energy above the most stable polymorph in this dataset	0.104	eV per atom
# E_tot	-6.0	eV per cell
data_GaH
_symmetry_space_group_name_H-M 'P 1'
_symmetry_Int_Tables_number 1
_symmetry_space_group_name_Hall 'P 1'
_cell_length_a 2.777
_cell_length_b 2.777
_cell_length_c 3.524
_cell_angle_alpha 90.00
_cell_angle_beta 90.00
_cell_angle_gamma 120.00
loop_
_atom_site_label
_atom_site_type_symbol
_atom_site_fract_x
_atom_site_fract_y
_atom_site_fract_z
_atom_site_occupancy
Ga1 Ga 0.000 0.000 0.000 1
H1 H 0.000 0.000 0.500 1


Record 6
# GaH | Alexandria via LeMat-Bulk | PBE-GGA | relaxed
# energy above the most stable polymorph in this dataset	0.372	eV per atom
# E_tot	-21.9	eV per cell
data_GaH
_symmetry_space_group_name_H-M 'P 1'
_symmetry_Int_Tables_number 1
_symmetry_space_group_name_Hall 'P 1'
_cell_length_a 5.669
_cell_length_b 5.669
_cell_length_c 3.249
_cell_angle_alpha 90.00
_cell_angle_beta 90.00
_cell_angle_gamma 90.00
loop_
_atom_site_label
_atom_site_type_symbol
_atom_site_fract_x
_atom_site_fract_y
_atom_site_fract_z
_atom_site_occupancy
Ga1 Ga 0.209 0.209 0.000 1
Ga2 Ga 0.291 0.709 0.500 1
Ga3 Ga 0.709 0.291 0.500 1
Ga4 Ga 0.791 0.791 0.000 1
H1 H 0.148 0.852 0.000 1
H2 H 0.352 0.352 0.500 1
H3 H 0.648 0.648 0.500 1
H4 H 0.852 0.148 0.000 1


Record 7
# GaH | Alexandria via LeMat-Bulk | PBE-GGA | relaxed
# energy above the most stable polymorph in this dataset	0.477	eV per atom
# E_tot	-21.1	eV per cell
data_GaH
_symmetry_space_group_name_H-M 'P 1'
_symmetry_Int_Tables_number 1
_symmetry_space_group_name_Hall 'P 1'
_cell_length_a 5.373
_cell_length_b 5.373
_cell_length_c 5.373
_cell_angle_alpha 109.47
_cell_angle_beta 109.47
_cell_angle_gamma 109.47
loop_
_atom_site_label
_atom_site_type_symbol
_atom_site_fract_x
_atom_site_fract_y
_atom_site_fract_z
_atom_site_occupancy
Ga1 Ga 0.000 0.000 0.368 1
Ga2 Ga 0.000 0.368 0.000 1
Ga3 Ga 0.368 0.000 0.000 1
Ga4 Ga 0.632 0.632 0.632 1
H1 H 0.000 0.000 0.724 1
H2 H 0.000 0.724 0.000 1
H3 H 0.276 0.276 0.276 1
H4 H 0.724 0.000 0.000 1


Record 8
# GaH | Alexandria via LeMat-Bulk | PBE-GGA | relaxed
# energy above the most stable polymorph in this dataset	0.110	eV per atom
# E_tot	-24.0	eV per cell
data_GaH
_symmetry_space_group_name_H-M 'P 1'
_symmetry_Int_Tables_number 1
_symmetry_space_group_name_Hall 'P 1'
_cell_length_a 6.240
_cell_length_b 6.240
_cell_length_c 6.240
_cell_angle_alpha 92.70
_cell_angle_beta 92.70
_cell_angle_gamma 154.93
loop_
_atom_site_label
_atom_site_type_symbol
_atom_site_fract_x
_atom_site_fract_y
_atom_site_fract_z
_atom_site_occupancy
Ga1 Ga 0.000 0.290 0.290 1
Ga2 Ga 0.000 0.710 0.710 1
Ga3 Ga 0.290 0.000 0.290 1
Ga4 Ga 0.710 0.000 0.710 1
H1 H 0.150 0.150 0.300 1
H2 H 0.150 0.850 0.000 1
H3 H 0.850 0.150 0.000 1
H4 H 0.850 0.850 0.700 1


Record 9
# GaH | Alexandria via LeMat-Bulk | PBE-GGA | relaxed
# energy above the most stable polymorph in this dataset	0.068	eV per atom
# E_tot	-48.7	eV per cell
data_GaH
_symmetry_space_group_name_H-M 'P 1'
_symmetry_Int_Tables_number 1
_symmetry_space_group_name_Hall 'P 1'
_cell_length_a 7.931
_cell_length_b 4.628
_cell_length_c 7.252
_cell_angle_alpha 90.00
_cell_angle_beta 90.00
_cell_angle_gamma 90.00
loop_
_atom_site_label
_atom_site_type_symbol
_atom_site_fract_x
_atom_site_fract_y
_atom_site_fract_z
_atom_site_occupancy
Ga1 Ga 0.159 0.250 0.156 1
Ga2 Ga 0.205 0.750 0.044 1
Ga3 Ga 0.295 0.250 0.544 1
Ga4 Ga 0.341 0.750 0.656 1
Ga5 Ga 0.659 0.250 0.344 1
Ga6 Ga 0.705 0.750 0.456 1
Ga7 Ga 0.795 0.250 0.956 1
Ga8 Ga 0.841 0.750 0.844 1
H1 H 0.069 0.750 0.853 1
H2 H 0.124 0.250 0.395 1
H3 H 0.376 0.750 0.895 1
H4 H 0.431 0.250 0.353 1
H5 H 0.569 0.750 0.647 1
H6 H 0.624 0.250 0.105 1
H7 H 0.876 0.750 0.605 1
H8 H 0.931 0.250 0.147 1


Record 10
# GaH | Alexandria via LeMat-Bulk | PBE-GGA | relaxed
# energy above the most stable polymorph in this dataset	0.197	eV per atom
# E_tot	-35.0	eV per cell
data_GaH
_symmetry_space_group_name_H-M 'P 1'
_symmetry_Int_Tables_number 1
_symmetry_space_group_name_Hall 'P 1'
_cell_length_a 3.411
_cell_length_b 7.937
_cell_length_c 5.418
_cell_angle_alpha 90.00
_cell_angle_beta 90.00
_cell_angle_gamma 90.00
loop_
_atom_site_label
_atom_site_type_symbol
_atom_site_fract_x
_atom_site_fract_y
_atom_site_fract_z
_atom_site_occupancy
Ga1 Ga 0.250 0.090 0.143 1
Ga2 Ga 0.250 0.410 0.143 1
Ga3 Ga 0.250 0.750 0.394 1
Ga4 Ga 0.750 0.250 0.606 1
Ga5 Ga 0.750 0.590 0.857 1
Ga6 Ga 0.750 0.910 0.857 1
H1 H 0.250 0.250 0.672 1
H2 H 0.250 0.594 0.628 1
H3 H 0.250 0.906 0.628 1
H4 H 0.750 0.094 0.372 1
H5 H 0.750 0.406 0.372 1
H6 H 0.750 0.750 0.328 1


Record 11
# GaH | Alexandria via LeMat-Bulk | PBE-GGA | relaxed
# energy above the most stable polymorph in this dataset	0.410	eV per atom
# E_tot	-5.4	eV per cell
data_GaH
_symmetry_space_group_name_H-M 'P 1'
_symmetry_Int_Tables_number 1
_symmetry_space_group_name_Hall 'P 1'
_cell_length_a 3.189
_cell_length_b 3.189
_cell_length_c 3.189
_cell_angle_alpha 60.00
_cell_angle_beta 60.00
_cell_angle_gamma 60.00
loop_
_atom_site_label
_atom_site_type_symbol
_atom_site_fract_x
_atom_site_fract_y
_atom_site_fract_z
_atom_site_occupancy
Ga1 Ga 0.000 0.000 0.000 1
H1 H 0.500 0.500 0.500 1


Record 12
# GaH | Alexandria via LeMat-Bulk | PBE-GGA | relaxed
# energy above the most stable polymorph in this dataset	0.000	eV per atom
# E_tot	-12.4	eV per cell
data_GaH
_symmetry_space_group_name_H-M 'P 1'
_symmetry_Int_Tables_number 1
_symmetry_space_group_name_Hall 'P 1'
_cell_length_a 2.791
_cell_length_b 2.792
_cell_length_c 9.233
_cell_angle_alpha 95.30
_cell_angle_beta 92.59
_cell_angle_gamma 117.50
loop_
_atom_site_label
_atom_site_type_symbol
_atom_site_fract_x
_atom_site_fract_y
_atom_site_fract_z
_atom_site_occupancy
Ga1 Ga 0.000 0.000 0.000 1
Ga2 Ga 0.412 0.355 0.716 1
H1 H 0.770 0.694 0.318 1
H2 H 0.833 0.730 0.399 1


Number 1: M_tot 0.00 μB per cell. Number 2: M_tot 0.00 μB per cell. Number 3: M_tot 0.00 μB per cell. Number 4: M_tot 0.00 μB per cell. Number 5: M_tot 0.00 μB per cell. Number 6: M_tot 0.00 μB per cell. Number 7: M_tot 0.00 μB per cell. Number 8: M_tot 0.00 μB per cell. Number 9: M_tot 0.00 μB per cell. Number 10: M_tot 0.00 μB per cell. Number 11: M_tot 0.00 μB per cell. Number 12: M_tot 0.00 μB per cell.